1.
Crystalline ZnCdW at its relaxed geometry, computed with GGA-PBE.

The value obtained for the distance to the lowest polymorph of the same formula is 0 meV/atom. The calculation puts the density of states at the Fermi level at 1.16 states/eV/f.u. The value obtained for the energy of formation from the pure elements is 385 meV/atom.

POSCAR file:
```
ZnCdW
1.0
7.2643 -0.0237 0.0191
6.5859 2.6725 -0.0296
0.6784 -0.6179 2.6249
Cd W Zn
1 1 1
direct
0.0012 0.0012 0.9988
0.3254 0.3254 0.6746
0.6734 0.6734 0.3266
```

2.
Crystalline Sc2TaAg at its relaxed geometry, computed with GGA-PBE.

The value obtained for the distance to the lowest polymorph of the same formula is 118 meV/atom. The calculation puts the density of states at the Fermi level at 3.89 states/eV/f.u. The value obtained for the energy of formation from the pure elements is 65 meV/atom.

POSCAR file:
```
Sc2TaAg
1.0
5.6224 0.0009 0.0261
4.7815 2.9577 0.0261
1.7621 0.5011 4.9072
Ag Sc Ta
1 2 1
direct
0.2379 0.2379 0.1819
0.9773 0.9773 0.0720
0.7654 0.7654 0.6891
0.5194 0.5194 0.5569
```

3.
Crystalline Dy6SbTe3Se2 at its relaxed geometry, computed with GGA-PBE.

The calculation puts the density of states at the Fermi level at 5.01 states/eV/f.u. The calculation puts the uncorrected formation energy at -1433 meV/atom.

POSCAR file:
```
Dy6SbTe3Se2
1.0
7.3485 -0.0016 -0.0011
-3.6739 6.3642 -0.0011
-1.2268 -2.1242 7.0802
Dy Sb Te Se
6 1 3 2
direct
0.9239 0.5783 0.7759
0.7250 0.7250 0.2193
0.0761 0.4217 0.2241
0.5783 0.9239 0.7759
0.2750 0.2750 0.7807
0.4217 0.0761 0.2241
0.0000 0.0000 0.0000
0.1617 0.8383 0.5000
0.8383 0.1617 0.5000
0.5000 0.5000 0.5000
0.3318 0.6682 0.0000
0.6682 0.3318 0.0000
```

4.
Crystalline MgAg2Sn at its relaxed geometry, computed with GGA-PBE.

The calculation puts the density of states at the Fermi level at 1.29 states/eV/f.u. The value obtained for the energy of formation from the pure elements is 114 meV/atom.

POSCAR file:
```
MgAg2Sn
1.0
-1.1933 2.7527 0.8482
-4.3885 -0.9718 -3.0186
-2.4007 -2.3492 4.2465
Mg Ag Sn
1 2 1
direct
0.5000 0.5000 0.5000
0.0000 0.5000 0.0000
0.0000 0.0000 0.5000
0.0000 0.0000 0.0000
```

5.
Crystalline CsErMnCl6 at its relaxed geometry, computed with GGA-PBE.

The calculation puts the density of states at the Fermi level at 0.00 states/eV/f.u. The calculation puts the uncorrected formation energy at -1867 meV/atom.

POSCAR file:
```
CsErMnCl6
1.0
-3.7964 1.0568 5.5443
-6.6834 -1.2554 -0.1641
1.3194 -7.3233 2.2991
Cs Er Mn Cl
1 1 1 6
direct
0.0000 0.0000 0.0000
0.3333 0.3334 0.5000
0.6667 0.6667 0.5000
0.9920 0.3842 0.3087
0.3841 0.9920 0.6912
0.6238 0.3842 0.6913
0.9920 0.6238 0.6912
0.3842 0.6238 0.3087
0.6238 0.9920 0.3087
```

6.
Crystalline DyYMgPd at its relaxed geometry, computed with GGA-PBE.

The calculation puts the density of states at the Fermi level at 2.60 states/eV/f.u. The value obtained for the energy of formation from the pure elements is -405 meV/atom.

POSCAR file:
```
DyYMgPd
1.0
5.1378 0.0000 0.0000
2.5689 4.4495 0.0000
2.5689 1.4832 4.1950
Y Mg Pd Dy
1 1 1 1
direct
0.7500 0.7500 0.7500
0.0000 0.0000 0.0000
0.5000 0.5000 0.5000
0.2500 0.2500 0.2500
```

7.
Crystalline PmTmIn2 at its relaxed geometry, computed with GGA-PBE.

The calculation puts the density of states at the Fermi level at 2.31 states/eV/f.u. The value obtained for the energy of formation from the pure elements is -466 meV/atom.

POSCAR file:
```
PmTmIn2
1.0
3.7815 0.0000 0.0000
0.0000 3.7815 0.0000
0.0000 0.0000 7.5635
Tm In Pm
1 2 1
direct
0.5000 0.5000 0.0000
0.0000 0.0000 0.7640
0.0000 0.0000 0.2360
0.5000 0.5000 0.5000
```

8.
Crystalline ScZnPd3 at its relaxed geometry, computed with GGA-PBE.

The value obtained for the distance to the lowest polymorph of the same formula is 1025 meV/atom. The calculation puts the density of states at the Fermi level at 2.11 states/eV/f.u. The value obtained for the energy of formation from the pure elements is 386 meV/atom.

POSCAR file:
```
ScZnPd3
1.0
-4.3510 0.2000 -1.9049
0.9481 -3.8831 -2.5734
-1.6643 -2.7352 3.5141
Sc Zn Pd
1 1 3
direct
0.0000 0.0000 0.0000
0.5000 0.5000 0.5000
0.0000 0.5000 0.0000
0.0000 0.0000 0.5000
0.5000 0.0000 0.0000
```

9.
Crystalline PmTl2Sb at its relaxed geometry, computed with GGA-PBE.

The value obtained for the distance to the lowest polymorph of the same formula is 551 meV/atom. The calculation puts the density of states at the Fermi level at 3.72 states/eV/f.u. The calculation puts the uncorrected formation energy at 128 meV/atom.

POSCAR file:
```
PmTl2Sb
1.0
-0.2644 2.2762 -2.7615
-2.6403 -0.3885 -2.3989
-7.7448 7.5344 4.6201
Sb Tl Pm
1 2 1
direct
0.5000 0.5000 0.5000
0.0925 0.0925 0.7225
0.9075 0.9075 0.2775
0.0000 0.0000 0.0000
```

10.
Crystalline Li4Er3Tl4 at its relaxed geometry, computed with GGA-PBE.

The value obtained for the distance to the lowest polymorph of the same formula is 23 meV/atom. The calculation puts the density of states at the Fermi level at 9.25 states/eV/f.u. The value obtained for the energy of formation from the pure elements is -233 meV/atom.

POSCAR file:
```
Li4Er3Tl4
1.0
-2.2028 -4.1779 -0.0636
-2.2147 1.2692 -6.6712
8.4066 -1.7729 0.6958
Li Er Tl
4 3 4
direct
0.3241 0.1368 0.6482
0.6759 0.4886 0.3518
0.6759 0.8632 0.3518
0.3241 0.5114 0.6482
0.1177 0.1177 0.2353
0.8823 0.8823 0.7647
0.0000 0.5000 0.0000
0.2180 0.7180 0.4360
0.7820 0.2820 0.5640
0.5000 0.7869 0.0000
0.5000 0.2131 0.0000
```

11.
Crystalline Er4ZnCu3 at its relaxed geometry, computed with GGA-PBE.

The value obtained for the distance to the lowest polymorph of the same formula is 0 meV/atom. The calculation puts the density of states at the Fermi level at 5.50 states/eV/f.u. The value obtained for the energy of formation from the pure elements is -293 meV/atom.

POSCAR file:
```
Er4ZnCu3
1.0
-3.3278 -0.1932 -0.8933
-1.2508 -0.3275 4.7303
-0.6979 9.7519 0.4907
Zn Cu Er
1 3 4
direct
0.5000 0.5000 0.0000
0.5000 0.0000 0.2481
0.5000 0.5000 0.5000
0.5000 0.0000 0.7519
0.0000 0.0000 0.5000
0.0000 0.5000 0.7449
0.0000 0.0000 0.0000
0.0000 0.5000 0.2551
```

12.
Crystalline Ce2BeGe3Rh4 at its relaxed geometry, computed with GGA-PBE.

The calculation puts the density of states at the Fermi level at 11.06 states/eV/f.u. The value obtained for the energy of formation from the pure elements is -799 meV/atom.

POSCAR file:
```
Ce2BeGe3Rh4
1.0
-1.4340 -3.2551 -2.1668
1.7706 -2.5983 2.7316
-8.4887 0.0471 5.5470
Ce Be Ge Rh
2 1 3 4
direct
0.5000 0.0000 0.2603
0.0000 0.5000 0.7397
0.5000 0.5000 0.5000
0.0000 0.0000 0.5000
0.5000 0.0000 0.8661
0.0000 0.5000 0.1339
0.5000 0.5000 0.0000
0.0000 0.0000 0.0000
0.5000 0.0000 0.6233
0.0000 0.5000 0.3767
```

13.
Crystalline Cr2PtRh at its relaxed geometry, computed with GGA-PBE.

The calculation puts the density of states at the Fermi level at 4.82 states/eV/f.u. The value obtained for the energy of formation from the pure elements is -134 meV/atom.

POSCAR file:
```
Cr2PtRh
1.0
-0.1014 1.6757 4.3511
-4.2957 -0.4559 1.7578
2.8450 -3.0378 -2.1044
Cr Pt Rh
2 1 1
direct
0.0001 0.0001 0.0000
0.7500 0.2500 0.5000
0.5000 0.5000 0.0000
0.2500 0.7500 0.5000
```

14.
Crystalline PmDy12Er7 at its relaxed geometry, computed with GGA-PBE.

The value obtained for the distance to the lowest polymorph of the same formula is 0 meV/atom. The calculation puts the density of states at the Fermi level at 18.29 states/eV/f.u. The value obtained for the energy of formation from the pure elements is 305 meV/atom.

POSCAR file:
```
PmDy12Er7
1.0
-7.7122 2.8217 2.7217
-2.2248 -8.3602 -0.0659
3.5591 -0.2184 7.8824
Pm Dy Er
1 12 7
direct
0.0000 0.0000 0.0000
0.8097 0.2499 0.6788
0.7501 0.3212 0.1903
0.4738 0.1451 0.4113
0.8549 0.5887 0.5262
0.3212 0.1903 0.7501
0.5887 0.5262 0.8549
0.4113 0.4738 0.1451
0.6788 0.8097 0.2499
0.1451 0.4113 0.4738
0.5262 0.8549 0.5887
0.2499 0.6788 0.8097
0.1903 0.7501 0.3212
0.9211 0.6508 0.9874
0.3492 0.0126 0.0789
0.0126 0.0789 0.3492
0.5000 0.5000 0.5000
0.9874 0.9211 0.6508
0.6508 0.9874 0.9211
0.0789 0.3492 0.0126
```

15.
Crystalline K2CdGeSe4 at its relaxed geometry, computed with GGA-PBE.

The calculation puts the density of states at the Fermi level at 0.00 states/eV/f.u. The calculation puts the uncorrected formation energy at -796 meV/atom.

POSCAR file:
```
K2CdGeSe4
1.0
6.9509 0.1072 0.1643
-2.8647 6.3340 -0.1643
-2.8647 -2.6994 5.7324
K Cd Ge Se
2 1 1 4
direct
0.5000 0.7500 0.2500
0.0000 0.0000 0.0000
0.5000 0.2500 0.7500
0.0000 0.5000 0.5000
0.6224 0.4244 0.4780
0.0537 0.1980 0.5756
0.9463 0.5219 0.1444
0.3776 0.8556 0.8020
```

16.
Crystalline CaYNiRh at its relaxed geometry, computed with GGA-PBE.

The calculation puts the density of states at the Fermi level at 3.04 states/eV/f.u. The value obtained for the energy of formation from the pure elements is -386 meV/atom.

POSCAR file:
```
CaYNiRh
1.0
4.8347 0.0000 0.0000
2.4173 4.1870 0.0000
2.4173 1.3957 3.9475
Y Ni Ca Rh
1 1 1 1
direct
0.7500 0.7500 0.7500
0.0000 0.0000 0.0000
0.2500 0.2500 0.2500
0.5000 0.5000 0.5000
```

17.
Crystalline YHf2TeSe at its relaxed geometry, computed with GGA-PBE.

The calculation puts the density of states at the Fermi level at 4.37 states/eV/f.u. The calculation puts the uncorrected formation energy at 1182 meV/atom.

POSCAR file:
```
YHf2TeSe
1.0
5.4782 0.0000 0.0000
0.0000 5.3632 0.0000
0.0000 0.0000 5.4782
Y Te Hf Se
1 1 2 1
direct
0.0000 0.0000 0.0000
0.0000 0.5000 0.0000
0.0000 0.0000 0.5000
0.5000 0.0000 0.0000
0.5000 0.5000 0.5000
```

18.
Crystalline Er2ScAlS6 at its relaxed geometry, computed with GGA-PBE.

The calculation puts the density of states at the Fermi level at 0.00 states/eV/f.u. The calculation puts the uncorrected formation energy at -1716 meV/atom.

POSCAR file:
```
Er2ScAlS6
1.0
6.5890 -0.0002 -0.0002
3.2943 5.7063 -0.0004
3.2939 1.9020 5.7991
Er Sc Al S
2 1 1 6
direct
0.5216 0.5216 0.4352
0.0219 0.0219 0.9344
0.8193 0.8194 0.5421
0.3199 0.3199 0.0402
0.5860 0.2034 0.2532
0.2033 0.9575 0.2532
0.9576 0.5859 0.2532
0.4437 0.6879 0.7679
0.6879 0.1005 0.7679
0.1005 0.4437 0.7678
```

19.
Crystalline Mg2AlPd2 at its relaxed geometry, computed with GGA-PBE.

The value obtained for the distance to the lowest polymorph of the same formula is 27 meV/atom. The calculation puts the density of states at the Fermi level at 1.80 states/eV/f.u. The value obtained for the energy of formation from the pure elements is -626 meV/atom.

POSCAR file:
```
Mg2AlPd2
1.0
6.5964 0.0000 0.0000
0.0000 6.5964 0.0000
0.0000 0.0000 4.0232
Mg Al Pd
4 2 4
direct
0.1593 0.6593 0.5000
0.6593 0.8407 0.5000
0.8407 0.3407 0.5000
0.3407 0.1593 0.5000
0.0000 0.0000 0.0000
0.5000 0.5000 0.0000
0.3510 0.8510 0.0000
0.8510 0.6490 0.0000
0.6490 0.1490 0.0000
0.1490 0.3510 0.0000
```

20.
Crystalline Y2CrCuOs at its relaxed geometry, computed with GGA-PBE.

The calculation puts the density of states at the Fermi level at 5.52 states/eV/f.u. The value obtained for the energy of formation from the pure elements is 805 meV/atom.

POSCAR file:
```
Y2CrCuOs
1.0
-0.3426 3.2059 -4.0158
-4.0992 1.3828 1.4536
2.2379 3.7161 2.7757
Y Cr Os Cu
2 1 1 1
direct
0.0000 0.0000 0.5000
0.5000 0.0000 0.0000
0.5000 0.5000 0.5000
0.0000 0.5000 0.0000
0.0000 0.0000 0.0000
```

What are the raw total energy values for these records? In order: -4.663; -6.776; -5.444; -2.711; -4.719; -4.868; -4.140; -4.251; -3.274; -3.034; -4.270; -6.684; -8.294; -4.291; -3.504; -5.786; -5.418; -6.112; -4.089; -6.770 eV per atom.